## GeBi3 (GGA-PBE)

Data for GeBi3 after structural relaxation.

Cell: 5.5015 5.5015 5.5015 Å, 60.00 60.00 60.00°
With the nearest neighbours (Å) after each atom.
Sites, in units of the cell vectors:
Ge: 0.0000 0.0000 0.0000  8 Bi 3.37
Bi: 0.2500 0.2500 0.2500  4 Ge 3.37, 4 Bi 3.37
Bi: 0.5000 0.5000 0.5000  8 Bi 3.37
Bi: 0.7500 0.7500 0.7500  4 Ge 3.37, 4 Bi 3.37

Values from the calculation:
* energy above the most stable polymorph in this dataset: 124 meV per atom
* DFT formation energy: 0.29 eV per atom

***

## GeBi (GGA-PBE)

Data for GeBi after structural relaxation.

Cell: 3.4530 3.4530 9.4941 Å, 90.00 90.00 90.00°
With the nearest neighbours (Å) after each atom.
Sites, in units of the cell vectors:
Ge: 0.2500 0.2500 0.0474  4 Ge 2.60, 1 Bi 2.80
Ge: 0.7500 0.7500 0.9526  4 Ge 2.60, 1 Bi 2.80
Bi: 0.2500 0.2500 0.3428  1 Ge 2.80
Bi: 0.7500 0.7500 0.6572  1 Ge 2.80

Values from the calculation:
* DFT formation energy: 0.19 eV per atom

***

## GeBi (GGA-PBE)

Data for GeBi after structural relaxation.

Cell: 4.2598 4.2598 4.2598 Å, 60.00 60.00 60.00°
With the nearest neighbours (Å) after each atom.
Sites, in units of the cell vectors:
Ge: 0.0000 0.0000 0.0000  6 Bi 3.01
Bi: 0.5000 0.5000 0.5000  6 Ge 3.01

Values from the calculation:
* DFT formation energy: 0.23 eV per atom

***

## GeBiH2 (GGA-PBE)

Data for GeBiH2 after structural relaxation.

Cell: 4.3089 4.3089 4.3089 Å, 60.00 60.00 60.00°
With the nearest neighbours (Å) after each atom.
Sites, in units of the cell vectors:
Ge: 0.0000 0.0000 0.0000  8 H 2.64
Bi: 0.5000 0.5000 0.5000  8 H 2.64
H: 0.2500 0.2500 0.2500  4 Bi 2.64, 4 Ge 2.64
H: 0.7500 0.7500 0.7500  4 Bi 2.64, 4 Ge 2.64

Values from the calculation:
* energy above the most stable polymorph in this dataset: 294 meV per atom

***

## GeBi3H (GGA-PBE)

Data for GeBi3H after structural relaxation.

Cell: 4.9328 4.9328 4.9328 Å, 90.00 90.00 90.00°
With the nearest neighbours (Å) after each atom.
Sites, in units of the cell vectors:
Ge: 0.0000 0.0000 0.0000  12 Bi 3.49
Bi: 0.0000 0.5000 0.5000  2 H 2.47
Bi: 0.5000 0.0000 0.5000  2 H 2.47
Bi: 0.5000 0.5000 0.0000  2 H 2.47
H: 0.5000 0.5000 0.5000  6 Bi 2.47

Values from the calculation:
* VASP energy: -17.4 eV/f.u.

***

## GeBi2H2 (GGA-PBE)

Data for GeBi2H2 after structural relaxation.

Cell: 7.4026 7.4026 3.5715 Å, 90.00 90.00 90.00°
With the nearest neighbours (Å) after each atom.
Sites, in units of the cell vectors:
Ge: 0.0000 0.0000 0.0000  4 H 2.63
Ge: 0.5000 0.5000 0.0000  4 H 2.63
Bi: 0.1635 0.3365 0.5000  2 H 2.13
Bi: 0.3365 0.8365 0.5000  2 H 2.13
Bi: 0.6635 0.1635 0.5000  2 H 2.13
Bi: 0.8365 0.6635 0.5000  2 H 2.13
H: 0.2256 0.7256 0.0000  2 Bi 2.13
H: 0.2744 0.2256 0.0000  2 Bi 2.13
H: 0.7256 0.7744 0.0000  2 Bi 2.13
H: 0.7744 0.2744 0.0000  2 Bi 2.13

Values from the calculation:
* energy above the most stable polymorph in this dataset: 91 meV per atom

***

## GeBiH3 (GGA-PBE)

Data for GeBiH3 after structural relaxation.

Cell: 4.1956 4.1956 4.1956 Å, 90.00 90.00 90.00°
With the nearest neighbours (Å) after each atom.
Sites, in units of the cell vectors:
Ge: 0.0000 0.0000 0.0000  12 H 2.97
Bi: 0.5000 0.5000 0.5000  6 H 2.10
H: 0.0000 0.5000 0.5000  2 Bi 2.10
H: 0.5000 0.0000 0.5000  2 Bi 2.10
H: 0.5000 0.5000 0.0000  2 Bi 2.10

Values from the calculation:
* energy above the most stable polymorph in this dataset: 222 meV per atom

***

## Ge2BiH (GGA-PBE)

Data for Ge2BiH after structural relaxation.

Cell: 4.8830 4.8830 4.8830 Å, 60.00 60.00 60.00°
With the nearest neighbours (Å) after each atom.
Sites, in units of the cell vectors:
Ge: 0.2500 0.2500 0.2500  4 H 2.99, 4 Bi 2.99
Ge: 0.7500 0.7500 0.7500  4 H 2.99, 4 Bi 2.99
Bi: 0.0000 0.0000 0.0000  8 Ge 2.99
H: 0.5000 0.5000 0.5000  8 Ge 2.99

Values from the calculation:
* energy above the most stable polymorph in this dataset: 269 meV per atom

***

## GeBiH3 (GGA-PBE)

Data for GeBiH3 after structural relaxation.

Cell: 3.9172 3.9172 3.9172 Å, 90.00 90.00 90.00°
With the nearest neighbours (Å) after each atom.
Sites, in units of the cell vectors:
Ge: 0.0000 0.0000 0.0000  6 H 1.96
Bi: 0.5000 0.5000 0.5000  12 H 2.77
H: 0.0000 0.0000 0.5000  2 Ge 1.96
H: 0.0000 0.5000 0.0000  2 Ge 1.96
H: 0.5000 0.0000 0.0000  2 Ge 1.96

Values from the calculation:
* energy above the most stable polymorph in this dataset: 0 meV per atom

***

## GeBiH2 (GGA-PBE)

Data for GeBiH2 after structural relaxation.

Cell: 5.6695 5.6695 5.6695 Å, 119.67 119.67 90.58°
With the nearest neighbours (Å) after each atom.
Sites, in units of the cell vectors:
Ge: 0.0000 0.0000 0.0000  4 H 1.74
Ge: 0.7500 0.2500 0.5000  4 H 1.74
Bi: 0.2500 0.7500 0.5000  12 H 3.31-3.35, 4 Ge 3.48, 4 Bi 3.48
Bi: 0.5000 0.5000 0.0000  12 H 3.31-3.35, 4 Ge 3.48, 4 Bi 3.48
H: 0.3750 0.1284 0.2534  2 Ge 1.74
H: 0.8716 0.1250 0.2466  2 Ge 1.74
H: 0.8750 0.1216 0.7466  2 Ge 1.74
H: 0.8784 0.6250 0.7534  2 Ge 1.74

Values from the calculation:
* energy above the most stable polymorph in this dataset: 0 meV per atom

***

## Ge2BiH (GGA-PBE)

Data for Ge2BiH after structural relaxation.

Cell: 7.3852 7.3852 7.3852 Å, 138.86 138.86 59.58°
With the nearest neighbours (Å) after each atom.
Sites, in units of the cell vectors:
Ge: 0.3750 0.2198 0.3448  2 H 2.12
Ge: 0.7802 0.1250 0.1552  2 H 2.12
Ge: 0.8750 0.0302 0.6552  2 H 2.12
Ge: 0.9698 0.6250 0.8448  2 H 2.12
Bi: 0.2500 0.7500 0.5000  4 Ge 2.94
Bi: 0.5000 0.5000 0.0000  4 Ge 2.94
H: 0.0000 0.0000 0.0000  4 Ge 2.12
H: 0.7500 0.2500 0.5000  4 Ge 2.12

Values from the calculation:
* energy above the most stable polymorph in this dataset: 0 meV per atom

***

## GeBi2H2 (GGA-PBE)

Data for GeBi2H2 after structural relaxation.

Cell: 6.9773 6.9773 6.9773 Å, 148.89 148.89 44.57°
With the nearest neighbours (Å) after each atom.
Sites, in units of the cell vectors:
Ge: 0.0000 0.0000 0.0000  8 Bi 3.16
Bi: 0.3665 0.3665 0.0000  4 H 2.40
Bi: 0.6335 0.6335 0.0000  4 H 2.40
H: 0.2500 0.7500 0.5000  4 Bi 2.40, 4 H 2.65
H: 0.7500 0.2500 0.5000  4 Bi 2.40, 4 H 2.65

Values from the calculation:
* energy above the most stable polymorph in this dataset: 0 meV per atom

***

## HfGeBiH2 (GGA-PBE)

Data for HfGeBiH2 after structural relaxation.

Cell: 3.9769 3.9769 5.8660 Å, 90.00 90.00 90.00°
With the nearest neighbours (Å) after each atom.
Sites, in units of the cell vectors:
Hf: 0.0000 0.0000 0.0000  4 Bi 2.81, 2 Ge 2.93
Ge: 0.0000 0.0000 0.5000  4 H 1.99
Bi: 0.5000 0.5000 0.0000  4 Hf 2.81
H: 0.0000 0.5000 0.5000  2 Ge 1.99
H: 0.5000 0.0000 0.5000  2 Ge 1.99

Values from the calculation:
* VASP energy: -23.1 eV/f.u.

***

## HgGeBi2H (GGA-PBE)

Data for HgGeBi2H after structural relaxation.

Cell: 5.8374 5.8374 3.4867 Å, 90.00 90.00 90.00°
With the nearest neighbours (Å) after each atom.
Sites, in units of the cell vectors:
Hg: 0.0000 0.0000 0.0000  8 Bi 3.40, 2 Hg 3.49
Ge: 0.5000 0.5000 0.5000  2 H 1.74
Bi: 0.0000 0.5000 0.5000  2 Ge 2.92
Bi: 0.5000 0.0000 0.5000  2 Ge 2.92
H: 0.5000 0.5000 0.0000  2 Ge 1.74

Values from the calculation:
* VASP energy: -14.8 eV/f.u.

***

## InGeBi2H (GGA-PBE)

Data for InGeBi2H after structural relaxation.

Cell: 5.9088 5.9088 3.5019 Å, 90.00 90.00 90.00°
With the nearest neighbours (Å) after each atom.
Sites, in units of the cell vectors:
In: 0.0000 0.0000 0.0000  8 Bi 3.43, 2 In 3.50
Ge: 0.5000 0.5000 0.5000  2 H 1.75
Bi: 0.0000 0.5000 0.5000  2 Ge 2.95
Bi: 0.5000 0.0000 0.5000  2 Ge 2.95
H: 0.5000 0.5000 0.0000  2 Ge 1.75

Values from the calculation:
* VASP energy: -17.4 eV/f.u.

***

## Na2GeBiH (GGA-PBE)

Data for Na2GeBiH after structural relaxation.

Cell: 4.6297 4.6297 4.7383 Å, 90.00 90.00 90.00°
With the nearest neighbours (Å) after each atom.
Sites, in units of the cell vectors:
Na: 0.0000 0.5000 0.0000  2 H 2.31
Na: 0.5000 0.0000 0.0000  2 H 2.31
Ge: 0.0000 0.0000 0.5000  2 H 2.37
Bi: 0.5000 0.5000 0.5000  4 Ge 3.27, 8 Na 3.31
H: 0.0000 0.0000 0.0000  4 Na 2.31, 2 Ge 2.37

Values from the calculation:
* VASP energy: -14.8 eV/f.u.

***

## GeBiHO2 (GGA-PBE)

Data for GeBiHO2 after structural relaxation.

Cell: 4.2858 4.2858 3.4782 Å, 90.00 90.00 90.00°
With the nearest neighbours (Å) after each atom.
Sites, in units of the cell vectors:
Ge: 0.0000 0.0000 0.0000  2 H 1.74
Bi: 0.5000 0.5000 0.5000  8 O 2.76, 4 H 3.03
H: 0.0000 0.0000 0.5000  2 Ge 1.74
O: 0.0000 0.5000 0.0000  2 Ge 2.14
O: 0.5000 0.0000 0.0000  2 Ge 2.14

Values from the calculation:
* VASP energy: -23.7 eV/f.u.

***

## GeBi2HPb (GGA-PBE)

Data for GeBi2HPb after structural relaxation.

Cell: 5.9927 5.9927 3.5179 Å, 90.00 90.00 90.00°
With the nearest neighbours (Å) after each atom.
Sites, in units of the cell vectors:
Ge: 0.0000 0.0000 0.0000  2 H 1.76
Bi: 0.0000 0.5000 0.0000  2 Ge 3.00
Bi: 0.5000 0.0000 0.0000  2 Ge 3.00
H: 0.0000 0.0000 0.5000  2 Ge 1.76
Pb: 0.5000 0.5000 0.5000  8 Bi 3.47, 2 Pb 3.52

Values from the calculation:
* VASP energy: -18.4 eV/f.u.

***

## GeBi2HPd6 (GGA-PBE)

Data for GeBi2HPd6 after structural relaxation.

Cell: 5.7003 5.7109 6.7535 Å, 65.94 65.52 62.05°
With the nearest neighbours (Å) after each atom.
Sites, in units of the cell vectors:
Ge: 0.0000 0.0000 0.0000  6 Pd 2.48-2.55
Bi: 0.2478 0.2432 0.2073  9 Pd 2.87-3.06
Bi: 0.7522 0.7568 0.7927  9 Pd 2.87-3.06
H: 0.5000 0.5000 0.5000  6 Pd 1.97-2.09
Pd: 0.1838 0.6913 0.3420  1 H 2.09
Pd: 0.2838 0.2887 0.7556  1 H 1.97
Pd: 0.3075 0.8178 0.6559  1 H 2.08
Pd: 0.6925 0.1822 0.3441  1 H 2.08
Pd: 0.7162 0.7113 0.2444  1 H 1.97
Pd: 0.8162 0.3087 0.6580  1 H 2.09

Values from the calculation:
* VASP energy: -49.3 eV/f.u.

***

## GeBi2H2Pd7 (GGA-PBE)

Data for GeBi2H2Pd7 after structural relaxation.

Cell: 4.0304 4.0304 11.7530 Å, 99.84 99.84 89.98°
With the nearest neighbours (Å) after each atom.
Sites, in units of the cell vectors:
Ge: 0.0000 0.0000 0.0000  12 Pd 2.78-2.85
Bi: 0.1994 0.1994 0.3995  5 Pd 2.89-2.91
Bi: 0.8006 0.8006 0.6005  5 Pd 2.89-2.91
H: 0.4143 0.4143 0.8259  6 Pd 1.98-2.02
H: 0.5857 0.5857 0.1741  6 Pd 1.98-2.02
Pd: 0.0834 0.5835 0.1675  2 H 2.01-2.02
Pd: 0.3270 0.3270 0.6525  1 H 1.98
Pd: 0.4165 0.9166 0.8325  2 H 2.01-2.02
Pd: 0.5000 0.5000 0.0000  2 H 1.99
Pd: 0.5835 0.0834 0.1675  2 H 2.01-2.02
Pd: 0.6730 0.6730 0.3475  1 H 1.98
Pd: 0.9166 0.4165 0.8325  2 H 2.01-2.02

Values from the calculation:
* VASP energy: -58.5 eV/f.u.

***

Calculated total magnetic moment, 0.0; 0.0; 0.0; 0.0; 0.0; 0.0; 0.0; 0.0; 0.0; 0.0; 0.0; 0.0; 0.0; 0.0; 0.0; 0.0; 0.0; 0.0; 0.0; 0.0 μB/f.u. (same order as the records).